VASP calculation (PBE) on crystalline CrIr2 at its relaxed geometry.

a b c (Å): 11.630 11.630 11.630
angles (deg): 166.58 166.58 19.02
Fractional positions:
Cr  0.750  0.250  0.500
Cr  0.000  0.000  0.000
Ir  0.325  0.825  0.500
Ir  0.425  0.425  0.000
Ir  0.575  0.575  0.000
Ir  0.175  0.675  0.500

## Properties
N(E_F) (states/eV per atom): 1.107
DFT formation energy (eV per formula unit): -0.13
Magnetic moment (μB/f.u.): 0.000
Crystal system: tetragonal
SG: I4_1/amd (141)